No. 1
NaPr2Ga | the Alexandria database | GGA-PBE | optimized geometry; excess energy over the best structure of this formula in the dataset = 0.033 eV per atom; space-group type = No. 225; DOS(E_F) = 1.32 states/eV/atom; formation energy from the elements = -0.15 eV per atom; mass density = 5.519 g cm⁻³
1.0
5.4217 0.0000 0.0000
2.7109 4.6953 0.0000
2.7109 1.5651 4.4268
Pr Na Ga
2 1 1
Direct
0.2500 0.2500 0.2500
0.7500 0.7500 0.7500
0.0000 0.0000 0.0000
0.5000 0.5000 0.5000

No. 2
NaPr2Ga | the Alexandria database | GGA-PBE | optimized geometry; excess energy over the best structure of this formula in the dataset = 0.000 eV per atom; space-group type = No. 123; DOS(E_F) = 0.99 states/eV/atom; formation energy from the elements = -0.18 eV per atom; mass density = 5.058 g cm⁻³
1.0
3.6336 0.0000 0.0000
0.0000 3.6336 0.0000
0.0000 0.0000 9.3125
Pr Na Ga
2 1 1
Direct
0.0000 0.0000 0.7989
0.0000 0.0000 0.2011
0.5000 0.5000 0.5000
0.5000 0.5000 0.0000

No. 3
NaPrGa2Pt2 | the Alexandria database | GGA-PBE | optimized geometry; space-group type = No. 164; DOS(E_F) = 0.71 states/eV/atom; formation energy from the elements = -0.73 eV per atom; mass density = 9.626 g cm⁻³
1.0
-3.3788 1.5601 -2.4913
1.8558 -3.9586 -0.9705
-4.5109 -3.1335 4.1556
Na Pr Ga Pt
1 1 2 2
Direct
0.0000 0.0000 0.5000
0.0000 0.0000 0.0000
0.6667 0.3333 0.6917
0.3333 0.6667 0.3083
0.6667 0.3333 0.2762
0.3333 0.6667 0.7238

No. 4
NaPr2Ga3Pt4 | the Alexandria database | GGA-PBE | optimized geometry; space-group type = No. 115; DOS(E_F) = 0.36 states/eV/atom; formation energy from the elements = -0.82 eV per atom; mass density = 10.685 g cm⁻³
1.0
-3.5229 -1.8559 -1.1490
2.1823 -2.9503 -1.9257
0.1256 -6.3357 9.8489
Na Pr Ga Pt
1 2 3 4
Direct
0.5000 0.5000 0.5000
0.5000 0.0000 0.2411
0.0000 0.5000 0.7589
0.0000 0.0000 0.5000
0.5000 0.0000 0.8737
0.0000 0.5000 0.1263
0.5000 0.5000 0.0000
0.0000 0.0000 0.0000
0.5000 0.0000 0.6582
0.0000 0.5000 0.3418

No. 5
Na4Pr3GaS8 | the Alexandria database | GGA-PBE | optimized geometry; space-group type = No. 12; mass density = 3.639 g cm⁻³; E_form (uncorrected) = -23.61 eV/f.u.
1.0
-6.9365 4.0564 0.8082
-2.0601 -1.9905 -7.6905
1.9000 -5.8515 5.3247
Na Pr Ga S
4 3 1 8
Direct
0.5000 0.0000 0.0000
0.5000 0.0000 0.5000
0.0000 0.0000 0.0000
0.0000 0.0000 0.5000
0.5000 0.5000 0.0000
0.5000 0.5000 0.5000
0.0000 0.5000 0.5000
0.0000 0.5000 0.0000
0.2185 0.7167 0.9959
0.2500 0.7436 0.5001
0.2556 0.2629 0.5112
0.7774 0.7167 0.9959
0.2226 0.2833 0.0041
0.7444 0.7371 0.4888
0.7500 0.2564 0.4999
0.7815 0.2833 0.0041

No. 6
Na2PrGaS4 | the Alexandria database | GGA-PBE | optimized geometry; space-group type = No. 15; mass density = 3.593 g cm⁻³; E_form (uncorrected) = -9.71 eV/f.u.
1.0
7.9663 -0.0489 -0.2756
-0.0545 7.9662 -0.2756
-4.1056 -4.1084 5.8924
Na Pr Ga S
4 2 2 8
Direct
0.5000 0.0000 0.0000
0.5000 0.0000 0.5000
0.0000 0.0000 0.5000
0.5000 0.5000 0.0000
0.0000 0.5000 0.0000
0.0000 0.5000 0.5000
0.5000 0.5000 0.5000
0.0000 0.0000 0.0000
0.2442 0.7580 0.0007
0.7420 0.2558 0.4993
0.2580 0.7442 0.5007
0.7558 0.2420 0.9993
0.7539 0.7584 0.9592
0.7416 0.7461 0.5408
0.2584 0.2539 0.4592
0.2461 0.2416 0.0408

Going through the records in order, we get total magnetic moment values of 0.000 0.000 0.000 0.000 0.000 0.000 μB per atom.